# BaAs3 PBE optimized geometry
data_BaAs3
_cell_length_a 6.123
_cell_length_b 6.984
_cell_length_c 5.441
_cell_angle_alpha 90.00
_cell_angle_beta 90.00
_cell_angle_gamma 90.00
_space_group_name_H-M_alt 'P m m n'
_space_group_IT_number 59
loop_
_space_group_symop_operation_xyz
'x,y,z'
'-x,-y,-z'
'-x+1/2,-y+1/2,z'
'x+1/2,y+1/2,-z'
'x+1/2,-y,-z'
'-x+1/2,y,z'
'-x,y+1/2,-z'
'x,-y+1/2,z'
loop_
_atom_site_label
_atom_site_type_symbol
_atom_site_fract_x
_atom_site_fract_y
_atom_site_fract_z
Ba1 Ba 0.250 0.250 0.115
As1 As 0.250 0.582 0.574
As2 As 0.250 0.750 0.150
# Total magnetization = 0.00 Bohr magnetons per cell
# Formation energy from the elements = -0.41 eV/atom
# Raw total energy = -4.379 eV per atom